Below is an optimized crystal structure of Mg2ReIr, with properties calculated at the PBE level.

Geometry as POSCAR:
```
Mg2ReIr
1.0
2.871 0.000 0.000
0.000 2.871 0.000
0.000 0.000 8.335
Re Mg Ir
1 2 1
Direct
0.000 0.000 0.527
0.500 0.500 0.282
0.000 0.000 0.961
0.500 0.500 0.730
```

Calculated values
- Density of states at the Fermi level: 2.61 states/eV per cell
- Excess energy over the best structure of this formula in the dataset: 0.0 meV per atom
- ρ: 10.32 g/cm³
- Calculated volume: 68.70 Å³/cell
- Energy relative to the elements: -0.0844 eV/atom
- Total magnetic moment: 0.0 Bohr magnetons per cell


Below is an optimized crystal structure of Pu2Al5Au12, with properties calculated at the PBE level.

Geometry as POSCAR:
```
Pu2Al5Au12
1.0
7.170 0.189 0.809
0.743 7.134 0.809
0.204 0.189 7.213
Al Au Pu
5 12 2
Direct
0.000 0.000 0.500
0.500 0.000 0.000
0.908 0.908 0.908
0.000 0.500 0.000
0.092 0.092 0.092
0.307 0.693 0.000
0.117 0.670 0.670
0.670 0.670 0.117
0.000 0.693 0.307
0.693 0.307 0.000
0.330 0.883 0.330
0.330 0.330 0.883
0.883 0.330 0.330
0.307 0.000 0.693
0.000 0.307 0.693
0.670 0.117 0.670
0.693 0.000 0.307
0.341 0.341 0.341
0.659 0.659 0.659
```

Calculated values
- Density of states at the Fermi level: 35.56 states/eV per cell
- ρ: 13.56 g/cm³
- Calculated volume: 365.84 Å³/cell
- Energy relative to the elements: -0.3323 eV/atom
- Total magnetic moment: 11.2 Bohr magnetons per cell